# 1
Tm12Ge3O5: relaxed, PBE.

Geometry as extended XYZ:
```
80
Lattice="12.9780 0.0000 0.0000 -4.3260 12.2358 0.0000 -4.3260 -6.1179 10.5965" Properties=species:S:1:pos:R:3 pbc="T T T"
Ge 7.5705 3.8237 1.3246
Ge 7.5705 8.4121 1.3246
Ge -1.0815 5.3532 6.6228
Ge 1.0815 -0.7647 3.9737
Ge 9.7335 0.0000 2.6491
Ge 1.0815 6.1179 2.6491
Ge 3.2445 0.0000 7.9474
Ge -5.4075 6.1179 7.9474
Ge 3.2445 6.8826 6.6228
Ge 5.4075 0.7647 3.9737
Ge -3.2445 -2.2942 9.2719
Ge -3.2445 2.2942 9.2719
Tm 8.5598 1.2818 0.1608
Tm 0.0922 3.8391 4.2686
Tm 9.8152 2.9205 3.1570
Tm 5.3258 1.7851 1.1905
Tm 1.6448 4.3880 7.2787
Tm 9.3892 6.1635 1.9804
Tm -1.1632 7.2533 4.3475
Tm -3.1628 10.4507 1.1905
Tm 0.5182 7.8478 7.2787
Tm 5.7518 6.0723 1.9804
Tm 6.5812 3.5606 4.1078
Tm 6.5812 10.9540 0.1608
Tm -3.8078 5.4386 5.4591
Tm 2.9002 4.3800 0.9507
Tm -4.4182 8.6752 4.1078
Tm 2.2552 -2.2788 6.3279
Tm -0.5182 1.0505 2.1412
Tm 2.9002 7.8102 1.0297
Tm 5.3258 9.3153 3.1570
Tm -0.7372 4.4256 1.0297
Tm -2.6812 7.1684 8.4553
Tm 3.3262 4.9825 4.3475
Tm 5.9708 6.7972 5.4591
Tm 5.0632 -1.7379 9.6458
Tm 0.9998 1.1354 6.2490
Tm -1.6448 -0.6793 5.1374
Tm -0.7372 7.8558 0.9507
Tm -0.9998 -3.1974 7.4395
Tm 7.0073 -1.0505 2.1412
Tm 5.0632 1.6923 9.5668
Tm 1.4258 -1.6923 9.5668
Tm 2.0708 8.3967 4.2686
Tm 4.8442 5.0674 8.4553
Tm 8.7442 -2.5573 6.4887
Tm 8.1338 0.6793 5.1374
Tm -2.2552 -4.8361 10.4357
Tm 1.4258 1.7379 9.6458
Tm 3.8078 -1.7299 3.3179
Tm -1.4258 0.0456 8.6161
Tm -2.2552 2.5573 6.4887
Tm 7.4888 -4.3328 9.4060
Tm 5.4892 -1.1354 6.2490
Tm -0.9998 4.3328 9.4060
Tm -5.0632 -0.0456 8.6161
Tm 2.6812 1.7299 3.3179
Tm -5.4892 3.1974 7.4395
Tm 4.2338 2.2788 6.3279
Tm -4.2338 4.8361 10.4357
O -1.0815 3.0589 2.6491
O -2.1630 6.1179 0.0000
O 0.0000 0.0000 0.0000
O 3.2445 2.2942 1.3246
O 4.3260 -3.0589 5.2983
O 4.3260 6.1179 0.0000
O -3.2445 6.8826 3.9737
O 5.4075 -3.8237 9.2719
O 5.4075 5.3532 3.9737
O 1.0815 -3.0589 7.9474
O 3.2445 9.1768 2.6491
O 2.1630 3.0589 5.2983
O 6.4890 0.0000 0.0000
O -2.1630 -3.0589 5.2983
O -1.0815 0.7647 6.6228
O -1.0815 9.9416 1.3246
O -4.3260 3.0589 5.2983
O 7.5705 -0.7647 6.6228
O 1.0815 3.8237 9.2719
O 5.4075 3.0589 7.9474
```

Spin magnetization (μB/cell): 0.0
Calculated density (g cm⁻³): 9.18
Crystal system: cubic
Raw formation energy (eV/atom): -1.680
Space-group type: Ia-3d, No. 230
Total energy (eV for the cell shown): -503.64

# 2
Tm3GeO7: relaxed, PBE.

Geometry as extended XYZ:
```
22
Lattice="-1.7000 -6.0705 0.3907 1.0446 1.5242 -6.0397 6.9542 -1.9009 0.7231" Properties=species:S:1:pos:R:3 pbc="T T T"
Tm 3.1671 -3.1009 -2.3105
Tm -0.3453 -2.3958 -2.9770
Tm 1.8987 -2.2303 -5.6189
Tm 4.4681 -4.2354 0.7000
Tm 4.0507 -6.6408 -2.3191
Tm 2.1801 0.2122 -2.6140
Ge 3.4758 -0.9593 0.3505
Ge -0.6540 -4.5373 -5.6380
O 3.5368 -3.7646 -4.9903
O -0.2130 -1.8692 -0.2451
O 2.3545 -5.5097 -3.4488
O 6.9194 -1.7507 -1.1679
O 3.8754 -0.9823 -1.5350
O -0.6670 -4.6201 -3.7123
O 2.8167 -2.7363 -0.0006
O 6.5725 -4.5556 -4.6040
O 1.7670 -1.7629 -3.4781
O 4.5319 -4.6842 -1.4479
O 1.0394 -3.7764 -1.7733
O 5.2595 -2.6707 -3.1527
O 0.2270 -6.0242 0.1299
O 6.0718 -0.4229 -5.0559
```

Spin magnetization (μB/cell): 2.1
Calculated density (g cm⁻³): 8.43
Crystal system: orthorhombic
Raw formation energy (eV/atom): -2.908
Space-group type: C222_1, No. 20
Total energy (eV for the cell shown): -169.45

# 3
TmGeO: relaxed, PBE.

Geometry as extended XYZ:
```
12
Lattice="6.7833 0.1178 0.0000 -1.0353 6.7049 0.0000 -2.8740 -3.4114 6.0543" Properties=species:S:1:pos:R:3 pbc="T T T"
Tm 4.4812 2.0573 0.0000
Tm 4.9988 -1.2951 3.0271
Tm 1.2668 4.7654 0.0000
Tm 1.7845 1.4130 3.0271
Ge 2.8740 3.4114 4.9194
Ge 0.0000 0.0000 1.1349
Ge -0.5176 3.3524 1.8923
Ge -0.5176 3.3524 4.1620
O 1.6958 0.0295 4.5407
O -1.6958 -0.0295 4.5407
O 2.6152 5.0876 1.5136
O 3.1328 1.7351 1.5136
```

Spin magnetization (μB/cell): 0.0
Calculated density (g cm⁻³): 6.20
Crystal system: orthorhombic
Raw formation energy (eV/atom): -1.485
Space-group type: Fddd, No. 70
Total energy (eV for the cell shown): -74.01

# 4
TmGeO3: relaxed, PBE.

Geometry as extended XYZ:
```
20
Lattice="5.5391 -0.1712 -0.1652 1.4710 7.0034 -0.0702 1.4710 0.1797 7.0014" Properties=species:S:1:pos:R:3 pbc="T T T"
Tm 5.6253 2.6550 4.1792
Tm 2.8558 0.7854 6.2881
Tm 5.6253 6.2265 0.4779
Tm 2.8558 4.3569 2.5868
Ge 5.5538 2.9339 0.7199
Ge 2.7842 0.9098 2.9890
Ge 5.6969 6.1021 3.7770
Ge 2.9274 4.0779 6.0461
O 3.8422 2.3409 2.8319
O 6.1143 6.7009 5.4403
O 6.6117 2.8280 2.1557
O 1.8694 4.1839 4.6103
O 6.8216 5.8453 2.3854
O 3.3448 5.7615 6.5851
O 4.6389 4.6710 3.9341
O 5.1363 1.2504 0.1809
O 2.3668 0.3110 1.3257
O 4.0520 2.6780 5.8390
O 1.6595 1.1666 4.3807
O 4.4291 4.3339 0.9270
```

Spin magnetization (μB/cell): 0.0
Calculated density (g cm⁻³): 6.99
Crystal system: monoclinic
Raw formation energy (eV/atom): -2.491
Space-group type: C2/c, No. 15
Total energy (eV for the cell shown): -145.68

# 5
TmGe2O5: relaxed, PBE.

Geometry as extended XYZ:
```
16
Lattice="-1.8027 0.1429 -2.9235 1.7561 -4.5023 -1.3029 -9.5876 -5.3743 5.6491" Properties=species:S:1:pos:R:3 pbc="T T T"
Tm -4.6424 -3.0754 2.7122
Tm 0.7033 -4.0426 -2.6523
Ge -3.3289 -4.3929 -0.1830
Ge -0.6101 -2.7251 0.2430
Ge -6.0746 -5.9320 1.4347
Ge -7.4520 -6.5603 4.2744
O -3.0841 -6.1296 -0.4189
O 1.0522 -2.6977 -0.7806
O -0.8549 -0.9884 0.4788
O -4.9912 -4.4203 0.8406
O -8.4067 -5.2216 4.9285
O -5.1199 -7.2707 0.7806
O -1.4959 -3.4705 -1.2683
O -7.8404 -7.0269 2.4700
O -2.4432 -3.6475 1.3282
O -5.6862 -5.4654 3.2391
```

Spin magnetization (μB/cell): 0.0
Calculated density (g cm⁻³): 6.16
Crystal system: orthorhombic
Raw formation energy (eV/atom): -2.044
Space-group type: Pmmn, No. 59
Total energy (eV for the cell shown): -109.70